[1]
Here is an optimized crystal structure of LaTmCuSi from Alexandria via LeMat-Bulk. Energies are from GGA-PBE.

Output
Space group: F-43m
Formation energy (no corrections), kJ per mole of atoms: -37.4
Crystal system: cubic

Cell and atoms, written as POSCAR:
```
LaTmCuSi
1.0
7.1323 0.0000 0.0000
0.0000 7.1323 0.0000
0.0000 0.0000 7.1323
La Tm Cu Si
4 4 4 4
direct
0.0000 0.0000 0.0000 La
0.0000 0.5000 0.5000 La
0.5000 0.0000 0.5000 La
0.5000 0.5000 0.0000 La
0.0000 0.0000 0.5000 Tm
0.0000 0.5000 0.0000 Tm
0.5000 0.0000 0.0000 Tm
0.5000 0.5000 0.5000 Tm
0.2500 0.2500 0.7500 Cu
0.2500 0.7500 0.2500 Cu
0.7500 0.2500 0.2500 Cu
0.7500 0.7500 0.7500 Cu
0.2500 0.2500 0.2500 Si
0.2500 0.7500 0.7500 Si
0.7500 0.2500 0.7500 Si
0.7500 0.7500 0.2500 Si
```



[2]
Here is an optimized crystal structure of ErBRh from Alexandria via LeMat-Bulk. Energies are from GGA-PBE.

Output
DFT formation energy, eV/atom: -0.623
Space group: Pnma
Distance to the lowest polymorph of the same formula, meV/atom: 0
Crystal system: orthorhombic

Cell and atoms, written as POSCAR:
```
ErBRh
1.0
6.5209 0.0000 0.0000
0.0000 3.6184 0.0000
0.0000 0.0000 7.9362
Er B Rh
4 4 4
direct
0.0284 0.2500 0.1874 Er
0.4716 0.7500 0.6874 Er
0.5284 0.2500 0.3126 Er
0.9716 0.7500 0.8126 Er
0.1987 0.7500 0.4148 B
0.3013 0.2500 0.9148 B
0.6987 0.7500 0.0852 B
0.8013 0.2500 0.5852 B
0.1544 0.2500 0.5457 Rh
0.3456 0.7500 0.0457 Rh
0.6544 0.2500 0.9543 Rh
0.8456 0.7500 0.4543 Rh
```



[3]
Here is an optimized crystal structure of Ca3NdTl2 from Alexandria via LeMat-Bulk. Energies are from GGA-PBE.

Output
DFT formation energy, eV/atom: -0.338
Space group: Pmc2_1
Crystal system: orthorhombic

Cell and atoms, written as POSCAR:
```
Ca3NdTl2
1.0
5.3233 0.0000 0.0000
0.0000 9.9066 0.0000
0.0000 0.0000 7.2996
Ca Nd Tl
6 2 4
direct
0.0000 0.0565 0.0000 Ca
0.0000 0.3126 0.3614 Ca
0.0000 0.6874 0.8614 Ca
0.0000 0.9435 0.5000 Ca
0.5000 0.1791 0.7007 Ca
0.5000 0.8209 0.2007 Ca
0.5000 0.4488 0.0597 Nd
0.5000 0.5512 0.5597 Nd
0.0000 0.3655 0.8082 Tl
0.0000 0.6345 0.3082 Tl
0.5000 0.1441 0.2514 Tl
0.5000 0.8559 0.7514 Tl
```



[4]
Here is an optimized crystal structure of TbIn2Ag6 from Alexandria via LeMat-Bulk. Energies are from GGA-PBE.

Output
DFT formation energy, eV/atom: -0.048
Space group: Immm
Crystal system: orthorhombic

Cell and atoms, written as POSCAR:
```
TbIn2Ag6
1.0
-1.6942 4.0682 7.0068
1.6942 -4.0682 7.0068
1.6942 4.0682 -7.0068
Tb In Ag
1 2 6
direct
0.0000 0.0000 0.0000 Tb
0.3533 0.8533 0.5000 In
0.6467 0.1467 0.5000 In
0.0015 0.6750 0.3265 Ag
0.3264 0.5000 0.8264 Ag
0.3485 0.6750 0.6735 Ag
0.6515 0.3250 0.3265 Ag
0.6736 0.5000 0.1736 Ag
0.9985 0.3250 0.6735 Ag
```



[5]
Here is an optimized crystal structure of Ag2Te2Pb from Alexandria via LeMat-Bulk. Energies are from GGA-PBE.

Output
Space group: I4/mmm
Formation energy (no corrections), kJ per mole of atoms: 16.0
Distance to the lowest polymorph of the same formula, meV/atom: 313
Crystal system: tetragonal

Cell and atoms, written as POSCAR:
```
Ag2Te2Pb
1.0
4.6189 0.0000 0.0000
0.0000 4.6189 0.0000
0.0000 0.0000 12.9972
Ag Te Pb
4 4 2
direct
0.0000 0.0000 0.1026 Ag
0.0000 0.0000 0.8974 Ag
0.5000 0.5000 0.3974 Ag
0.5000 0.5000 0.6026 Ag
0.0000 0.5000 0.2500 Te
0.0000 0.5000 0.7500 Te
0.5000 0.0000 0.2500 Te
0.5000 0.0000 0.7500 Te
0.0000 0.0000 0.5000 Pb
0.5000 0.5000 0.0000 Pb
```



[6]
Here is an optimized crystal structure of Mg2MnTl from Alexandria via LeMat-Bulk. Energies are from GGA-PBE.

Output
DFT formation energy, eV/atom: 0.156
Space group: P4/mmm
Distance to the lowest polymorph of the same formula, meV/atom: 0
Crystal system: tetragonal

Cell and atoms, written as POSCAR:
```
Mg2MnTl
1.0
4.2853 0.0000 0.0000
0.0000 4.2853 0.0000
0.0000 0.0000 4.3652
Mg Mn Tl
2 1 1
direct
0.0000 0.5000 0.0000 Mg
0.5000 0.0000 0.0000 Mg
0.0000 0.0000 0.5000 Mn
0.5000 0.5000 0.5000 Tl
```



[7]
Here is an optimized crystal structure of SmNpTeN2 from Alexandria via LeMat-Bulk. Energies are from GGA-PBE.

Output
Space group: P2_1/m
Formation energy (no corrections), kJ per mole of atoms: -128.1
Crystal system: monoclinic

Cell and atoms, written as POSCAR:
```
SmNpTeN2
1.0
6.8527 0.0000 0.0000
0.0000 4.0772 0.0000
-2.1880 0.0000 7.5441
Sm Np Te N
2 2 2 4
direct
0.1787 0.2500 0.4238 Sm
0.8213 0.7500 0.5762 Sm
0.1521 0.2500 0.9045 Np
0.8479 0.7500 0.0955 Np
0.4516 0.7500 0.7548 Te
0.5484 0.2500 0.2452 Te
0.0055 0.7500 0.3563 N
0.0187 0.7500 0.8965 N
0.9813 0.2500 0.1035 N
0.9945 0.2500 0.6437 N
```



[8]
Here is an optimized crystal structure of Cs2Hg2I from Alexandria via LeMat-Bulk. Energies are from GGA-PBE.

Output
Space group: I4/mmm
Formation energy (no corrections), kJ per mole of atoms: -52.6
Distance to the lowest polymorph of the same formula, meV/atom: 179
Crystal system: tetragonal

Cell and atoms, written as POSCAR:
```
Cs2Hg2I
1.0
7.1881 0.0000 0.0000
0.0000 7.1881 0.0000
0.0000 0.0000 10.6668
Cs Hg I
4 4 2
direct
0.0000 0.5000 0.2500 Cs
0.0000 0.5000 0.7500 Cs
0.5000 0.0000 0.2500 Cs
0.5000 0.0000 0.7500 Cs
0.0000 0.0000 0.1412 Hg
0.0000 0.0000 0.8588 Hg
0.5000 0.5000 0.3588 Hg
0.5000 0.5000 0.6412 Hg
0.0000 0.0000 0.5000 I
0.5000 0.5000 0.0000 I
```



[9]
Here is an optimized crystal structure of Sc2BeSi from Alexandria via LeMat-Bulk. Energies are from GGA-PBE.

Output
Space group: Amm2
Formation energy (no corrections), kJ per mole of atoms: -48.4
Distance to the lowest polymorph of the same formula, meV/atom: 0
Crystal system: orthorhombic

Cell and atoms, written as POSCAR:
```
Sc2BeSi
1.0
3.7018 0.0000 0.0000
0.0000 3.8503 0.0000
0.0000 0.0000 9.8980
Sc Be Si
4 2 2
direct
0.0000 0.0000 0.0000 Sc
0.0000 0.5000 0.5000 Sc
0.5000 0.0000 0.2848 Sc
0.5000 0.5000 0.7848 Sc
0.5000 0.0000 0.5767 Be
0.5000 0.5000 0.0767 Be
0.0000 0.0000 0.7087 Si
0.0000 0.5000 0.2087 Si
```



[10]
Here is an optimized crystal structure of SmHo4Tm5 from Alexandria via LeMat-Bulk. Energies are from GGA-PBE.

Output
DFT formation energy, eV/atom: 0.310
Space group: I4
Distance to the lowest polymorph of the same formula, meV/atom: 117
Crystal system: tetragonal

Cell and atoms, written as POSCAR:
```
SmHo4Tm5
1.0
-5.0523 5.0523 3.1245
5.0523 -5.0523 3.1245
5.0523 5.0523 -3.1245
Sm Ho Tm
1 4 5
direct
0.0000 0.0000 0.0000 Sm
0.1790 0.8808 0.6012 Ho
0.2796 0.5778 0.3988 Ho
0.5778 0.1790 0.2982 Ho
0.8808 0.2796 0.7018 Ho
0.4577 0.4577 0.0000 Tm
0.4929 0.8696 0.9100 Tm
0.5829 0.4929 0.6232 Tm
0.8696 0.9597 0.3768 Tm
0.9597 0.5829 0.0900 Tm
```